ThMg5Au2: relaxed, PBE. Values from VASP.

Geometry as Quantum ESPRESSO input:
```
&SYSTEM
  ibrav = 0, nat = 8, ntyp = 3
/
ATOMIC_SPECIES
Mg 24.30 Mg.upf
Au 196.97 Au.upf
Th 232.04 Th.upf
ATOMIC_POSITIONS crystal
Mg 0.652 0.537 0.158
Mg 0.348 0.842 0.463
Mg 0.652 0.158 0.537
Mg 0.000 0.500 0.500
Mg 0.348 0.463 0.842
Au 0.273 0.227 0.227
Au 0.727 0.773 0.773
Th 0.000 0.000 0.000
CELL_PARAMETERS angstrom
-1.362 -2.851 -2.486
-4.446 -3.996 3.768
-6.482 1.994 -1.986
```

Its raw total energy is -3.13 eV/atom. The formation energy is -37.1 kJ/mol of atoms. The value obtained for the spin magnetization is 0.00 μB/cell. The density of states at the Fermi level is 0.63 states/eV/atom.